LaTlGa2 PBE optimized geometry; energy = -3.6154 eV per atom; density = 7.98 g/cm3; distance to the lowest polymorph of the same formula = 135.8 meV/atom
1.0
0.0000 3.6890 3.6890
3.6890 0.0000 3.6890
3.6890 3.6890 0.0000
La Tl Ga
1 1 2
Direct
0.0000 0.0000 0.0000
0.5000 0.5000 0.5000
0.2500 0.2500 0.2500
0.7500 0.7500 0.7500